No. 1
# Tb2Tm5In5 | Alexandria via LeMat-Bulk | PBE-GGA | relaxed
data_Tb2Tm5In5
_chemical_formula_sum 'Tb4 Tm10 In10'
_space_group_name_H-M_alt 'C 1 2/m 1'
_space_group_IT_number 12
_cell_length_a 12.047
_cell_length_b 5.015
_cell_length_c 11.694
_cell_angle_alpha 90.00
_cell_angle_beta 109.82
_cell_angle_gamma 90.00
loop_
_space_group_symop_operation_xyz
'x,y,z'
'-x,-y,-z'
'-x,y,-z'
'x,-y,z'
'x+1/2,y+1/2,z'
'-x+1/2,-y+1/2,-z'
'-x+1/2,y+1/2,-z'
'x+1/2,-y+1/2,z'
loop_
_atom_site_label
_atom_site_type_symbol
_atom_site_fract_x
_atom_site_fract_y
_atom_site_fract_z
Tb1 Tb 0.076 0.000 0.257
Tm1 Tm 0.000 0.500 0.000
Tm2 Tm 0.129 0.500 0.776
Tm3 Tm 0.151 0.500 0.501
In1 In 0.000 0.000 0.500
In2 In 0.166 0.000 0.968
In3 In 0.244 0.500 0.281
# M_tot, μB per formula unit: 0.0
# E_form, eV/atom: -0.30
# Volume, Å³ per cell: 664.7
# E, eV for the cell shown: -97.79


No. 2
# BaTl2Mo2 | Alexandria via LeMat-Bulk | PBE-GGA | relaxed
data_BaTl2Mo2
_chemical_formula_sum 'Ba2 Tl4 Mo4'
_space_group_name_H-M_alt 'P 4/m b m'
_space_group_IT_number 127
_space_group_name_Hall '-P 4 2ab'
_cell_length_a 8.814
_cell_length_b 8.814
_cell_length_c 3.173
_cell_angle_alpha 90.00
_cell_angle_beta 90.00
_cell_angle_gamma 90.00
loop_
_atom_site_label
_atom_site_type_symbol
_atom_site_fract_x
_atom_site_fract_y
_atom_site_fract_z
Ba1 Ba 0.000 0.000 0.000
Tl1 Tl 0.187 0.313 0.500
Mo1 Mo 0.091 0.591 0.000
# M_tot, μB per formula unit: 0.0
# E_form, eV/atom: 0.56
# Energy above the lowest structure with this stoichiometry, meV/atom: 56.0
# Volume, Å³ per cell: 246.5
# E, eV for the cell shown: -51.06


No. 3
# Dy13Mg2 | Alexandria via LeMat-Bulk | PBE-GGA | relaxed
data_Dy13Mg2
_chemical_formula_sum 'Dy13 Mg2'
_space_group_name_H-M_alt 'P -1'
_space_group_IT_number 2
_cell_length_a 6.678
_cell_length_b 8.565
_cell_length_c 8.955
_cell_angle_alpha 65.92
_cell_angle_beta 79.48
_cell_angle_gamma 82.23
loop_
_space_group_symop_operation_xyz
'x,y,z'
'-x,-y,-z'
loop_
_atom_site_label
_atom_site_type_symbol
_atom_site_fract_x
_atom_site_fract_y
_atom_site_fract_z
Dy1 Dy 0.000 0.000 0.000
Dy2 Dy 0.125 0.477 0.746
Dy3 Dy 0.196 0.231 0.155
Dy4 Dy 0.250 0.942 0.576
Dy5 Dy 0.308 0.661 0.973
Dy6 Dy 0.372 0.411 0.391
Dy7 Dy 0.489 0.138 0.797
Mg1 Mg 0.061 0.756 0.385
# M_tot, μB per formula unit: 0.0
# E_form, eV/atom: 0.03
# Volume, Å³ per cell: 458.7
# E, eV for the cell shown: -62.57


No. 4
# TbScH2 | Alexandria via LeMat-Bulk | PBE-GGA | relaxed
data_TbScH2
_chemical_formula_sum 'Tb3 Sc3 H6'
_space_group_name_H-M_alt 'R 3 m'
_space_group_IT_number 160
_space_group_name_Hall 'R 3 -2"'
_cell_length_a 3.3507
_cell_length_b 3.3507
_cell_length_c 16.9584
_cell_angle_alpha 90.00
_cell_angle_beta 90.00
_cell_angle_gamma 120.00
loop_
_atom_site_label
_atom_site_type_symbol
_atom_site_fract_x
_atom_site_fract_y
_atom_site_fract_z
Tb1 Tb 0.0000 0.0000 0.0000
Sc1 Sc 0.0000 0.0000 0.1799
H1 H 0.0000 0.0000 0.5773
H2 H 0.0000 0.0000 0.7801
# M_tot, μB per formula unit: 0.0
# Energy above the lowest structure with this stoichiometry, meV/atom: 195.8
# Volume, Å³ per cell: 164.9
# E, eV for the cell shown: -56.39